6
Lattice="4.380 0.000 0.000 -2.190 3.793 0.000 0.000 0.000 8.677" Properties=species:S:1:pos:R:3 comment="BaNdAs2Pd2 | OQMD via LeMat-Bulk | GGA-PBE | relaxed" magmom_total_mub_per_fu=0.00 volume_a3_per_cell=144.1 dft_energy_ha_per_atom=-0.2012 pbc="T T T"
As 0.000 2.529 2.398
As 2.190 1.264 6.279
Ba 0.000 0.000 0.000
Nd 0.000 0.000 4.338
Pd 2.190 1.264 2.375
Pd 0.000 2.529 6.302